## RbV2OsO8 (PBE with a Hubbard U)

Data for a geometry-optimized RbV2OsO8 structure.

POSCAR file:
```
RbV2OsO8
1.0
5.612 0.000 0.000
-2.806 4.860 0.000
0.000 0.000 7.920
Rb V Os O
1 2 1 8
Direct
0.000 0.000 0.000
0.333 0.667 0.717
0.667 0.333 0.283
0.000 0.000 0.500
0.161 0.322 0.641
0.161 0.839 0.641
0.322 0.161 0.359
0.333 0.667 0.926
0.667 0.333 0.074
0.678 0.839 0.641
0.839 0.161 0.359
0.839 0.678 0.359
```

Raw total energy ... -7.190 eV/atom